{
  "formula": "Ca2Tl6In",
  "functional": "PBE",
  "state": "relaxed",
  "spacegroup": "C2/m",
  "dos_ef_per_ev_cell": 5.07,
  "de_polymorph_ev_per_atom": 0.069,
  "delta_e_f_mev_per_atom": -127,
  "m_tot_mub_per_fu": 0.00,
  "energy_ry_per_atom": -0.1804,
  "lattice_angstrom": [[8.5250, -4.4035, 0.0000], [8.5250, 4.4035, 0.0000], [-0.0061, 0.0000, 3.6365]],
  "species": ["Ca", "Ca", "Tl", "Tl", "Tl", "Tl", "Tl", "Tl", "In"],
  "fractional_positions": [[0.1882, 0.1882, 0.4993], [0.8118, 0.8118, 0.5007], [0.1578, 0.5228, 0.0012], [0.1833, 0.8167, 0.5000], [0.4772, 0.8422, 0.9988], [0.5228, 0.1578, 0.0012], [0.8167, 0.1833, 0.5000], [0.8422, 0.4772, 0.9988], [0.5000, 0.5000, 0.0000]]
}